Model i:
A plane-wave DFT calculation with GGA-PBE was carried out for a relaxed structure of Er2CuNi3.

Values from the calculation:
SG: No. 71

Cell lengths 4.3975, 5.0736, 5.6950 Å; angles 116.45, 112.71, 90.00 degrees
Fractional coordinates of all 6 atoms:
Er  0.6907  0.1907  0.3815
Er  0.3093  0.8093  0.6185
Cu  0.0000  0.5000  0.0000
Ni  0.3753  0.3753  0.7506
Ni  0.0000  0.0000  0.0000
Ni  0.6247  0.6247  0.2494


Model ii:
A plane-wave DFT calculation with GGA-PBE was carried out for a relaxed structure of Er2CuNi3.

Values from the calculation:
SG: No. 166

Cell lengths 5.1341, 5.1341, 5.0331 Å; angles 89.89, 120.74, 120.05 degrees
Fractional coordinates of all 6 atoms:
Er  0.7495  0.3746  0.1241
Er  0.2505  0.6254  0.8759
Cu  0.0000  0.0000  0.0000
Ni  0.5000  0.5000  0.5000
Ni  0.0000  0.0000  0.5000
Ni  0.5000  0.0000  0.5000


The most stable arrangement is model ii, and the next structure is 0.306 eV/atom less stable.


Model i:
A plane-wave DFT calculation with GGA-PBE was carried out for a relaxed structure of ErCu2Ni4.

Values from the calculation:
SG: No. 12

Cell lengths 4.8080, 5.0010, 5.0010 Å; angles 76.37, 61.13, 61.13 degrees
Fractional coordinates of all 7 atoms:
Er  0.0000  0.0000  0.0000
Cu  0.7498  0.5004  0.5004
Cu  0.2502  0.4996  0.4996
Ni  0.6936  0.6135  0.0002
Ni  0.3064  0.3865  0.9998
Ni  0.6936  0.0002  0.6135
Ni  0.3064  0.9998  0.3866


Model ii:
A plane-wave DFT calculation with GGA-PBE was carried out for a relaxed structure of ErCu2Ni4.

Values from the calculation:
SG: No. 139

Cell lengths 5.5401, 5.5401, 5.5401 Å; angles 101.37, 101.37, 127.27 degrees
Last column: magnetic moment on the atom in μB.
Fractional coordinates of all 7 atoms:
Er  0.0000  0.0000  0.0000  -0.07
Cu  0.2500  0.7500  0.5000  0.03
Cu  0.7500  0.2500  0.5000  0.03
Ni  0.7219  0.5000  0.2219  0.36
Ni  0.5000  0.7219  0.2219  0.36
Ni  0.5000  0.2781  0.7781  0.36
Ni  0.2781  0.5000  0.7781  0.36


The most stable arrangement is model i, and the next structure is 0.597 eV/atom less stable.


Model i:
A plane-wave DFT calculation with GGA-PBE was carried out for a relaxed structure of ErCu3Ni.

Values from the calculation:
SG: No. 63

Cell lengths 4.8709, 5.1734, 6.4835 Å; angles 113.51, 90.00, 90.00 degrees
Fractional coordinates of all 10 atoms:
Er  0.2500  0.3978  0.7956
Er  0.7500  0.6022  0.2044
Cu  0.2500  0.8159  0.6319
Cu  0.7500  0.1841  0.3681
Cu  0.2500  0.3866  0.2949
Cu  0.7500  0.6134  0.7051
Cu  0.2500  0.9084  0.2949
Cu  0.7500  0.0916  0.7051
Ni  0.0000  0.0000  0.0000
Ni  0.5000  0.0000  0.0000


Model ii:
A plane-wave DFT calculation with GGA-PBE was carried out for a relaxed structure of ErCu3Ni.

Values from the calculation:
SG: No. 119

Cell lengths 4.7998, 4.7998, 8.5890 Å; angles 106.23, 106.23, 90.00 degrees
Fractional coordinates of all 10 atoms:
Er  0.5707  0.0707  0.1414
Er  0.9293  0.4293  0.8586
Cu  0.6194  0.8716  0.7433
Cu  0.1284  0.8761  0.2567
Cu  0.1284  0.3806  0.2567
Cu  0.1239  0.8716  0.7433
Cu  0.2924  0.2924  0.5847
Cu  0.7076  0.7076  0.4153
Ni  0.0000  0.0000  0.0000
Ni  0.2500  0.7500  0.5000


The most stable arrangement is model i, and the next structure is 0.322 eV/atom less stable.